MgSc3Zn | PBE | optimized geometry

```
data_MgSc3Zn
_cell_length_a 5.109
_cell_length_b 5.109
_cell_length_c 5.109
_cell_angle_alpha 90.00
_cell_angle_beta 90.00
_cell_angle_gamma 90.00
_symmetry_space_group_name_H-M 'P m -3 m'
_symmetry_Int_Tables_number 221
_symmetry_space_group_name_Hall '-P 4 2 3'
loop_
_atom_site_label
_atom_site_fract_x
_atom_site_fract_y
_atom_site_fract_z
Mg1 0.000 0.000 0.000
Sc1 0.000 0.500 0.500
Zn1 0.500 0.500 0.500
```

Results
Calculated density (g/cm3): 2.80
M_tot (μB/cell): 0.0
Crystal system: cubic
Excess energy over the best structure of this formula in the dataset (eV per formula unit): 2.01
Energy relative to the elements (eV per atom): 0.273
Volume (Å³/atom): 26.67
Calculated total energy (eV per cell): -20.50

***

MgScZn3 | PBE | optimized geometry

```
data_MgScZn3
_cell_length_a 5.188
_cell_length_b 5.188
_cell_length_c 5.188
_cell_angle_alpha 90.00
_cell_angle_beta 90.00
_cell_angle_gamma 90.00
_symmetry_space_group_name_H-M 'P m -3 m'
_symmetry_Int_Tables_number 221
_symmetry_space_group_name_Hall '-P 4 2 3'
loop_
_atom_site_label
_atom_site_fract_x
_atom_site_fract_y
_atom_site_fract_z
Mg1 0.000 0.000 0.000
Sc1 0.500 0.500 0.500
Zn1 0.000 0.500 0.500
```

Results
Calculated density (g/cm3): 3.16
M_tot (μB/cell): 0.0
Crystal system: cubic
Excess energy over the best structure of this formula in the dataset (eV per formula unit): 4.83
Energy relative to the elements (eV per atom): 0.711
Volume (Å³/atom): 27.93
Calculated total energy (eV per cell): -8.19

***

Mg2ScZn9 | PBE | optimized geometry

```
data_Mg2ScZn9
_cell_length_a 5.2065
_cell_length_b 5.2065
_cell_length_c 25.1363
_cell_angle_alpha 90.00
_cell_angle_beta 90.00
_cell_angle_gamma 120.00
_symmetry_space_group_name_H-M 'R -3 m'
_symmetry_Int_Tables_number 166
_symmetry_space_group_name_Hall '-R 3 2"'
loop_
_atom_site_label
_atom_site_fract_x
_atom_site_fract_y
_atom_site_fract_z
Mg1 0.0000 0.0000 0.1403
Sc1 0.0000 0.0000 0.0000
Zn1 0.0000 0.0000 0.3335
Zn2 0.0000 0.0000 0.5000
Zn3 0.0044 0.5022 0.9157
```

Results
Calculated density (g/cm3): 5.76
M_tot (μB/cell): 0.0
Crystal system: trigonal
Energy relative to the elements (eV per atom): -0.162
Volume (Å³/atom): 16.39
Calculated total energy (eV per cell): -68.78